An optimized crystal structure of ZrIn4As, computed with PBE-GGA.

Results
Calculated formation energy (meV/atom): 232.4
Size of the total moment (μB per formula unit): 0.00
Uncorrected energy (eV per cell): -22.76
Space-group type: F-43m (216)
Calculated density (g/cm3): 7.288

Lattice parameters (Å, degrees): 5.8630 5.8630 5.8630 60.00 60.00 60.00
Fractional positions:
Zr (0.0000, 0.0000, 0.0000)
In (0.3747, 0.3747, 0.3747)
In (0.3747, 0.3747, 0.8760)
In (0.3747, 0.8760, 0.3747)
In (0.8760, 0.3747, 0.3747)
As (0.7500, 0.7500, 0.7500)